(1)
Below is a relaxed Tl2CoIr crystal, with properties calculated at the PBEsol level.

abc: 3.138 4.372 5.182
angles: 90.00 90.00 90.00
Each line ends with the local moment (μB).
Fractional positions:
Tl 0.000 0.000 0.000  -0.03
Tl 0.500 0.000 0.500  0.00
Ir 0.000 0.500 0.500  0.20
Co 0.500 0.500 0.000  1.38

Values from the calculation:
The value obtained for the density of states at the Fermi level is 0.937 states/eV per atom. As for the magnetization: 1.49 μB/cell. The calculation puts the formation energy from the elements at 713.3 meV per atom.

***

(2)
Below is a relaxed Rb2Cd2C crystal, with properties calculated at the PBEsol level.

abc: 3.964 3.964 10.627
angles: 100.75 100.75 90.00
Each line ends with the local moment (μB).
Fractional positions:
C 0.000 0.000 0.000  1.07
Rb 0.417 0.417 0.835  0.04
Rb 0.583 0.583 0.165  0.04
Cd 0.250 0.750 0.500  0.00
Cd 0.750 0.250 0.500  0.00

Values from the calculation:
The value obtained for the density of states at the Fermi level is 0.322 states/eV per atom. As for the magnetization: 2.65 μB/cell. The calculation puts the formation energy from the elements at 986.2 meV per atom.

***

(3)
Below is a relaxed Fe2PbAu crystal, with properties calculated at the PBEsol level.

abc: 3.158 4.451 5.191
angles: 110.87 107.71 90.00
Each line ends with the local moment (μB).
Fractional positions:
Au 0.730 0.215 0.461  0.02
Fe 0.975 0.990 0.951  2.48
Fe 0.283 0.775 0.567  2.69
Pb 0.511 0.520 0.021  -0.04

Values from the calculation:
The value obtained for the density of states at the Fermi level is 0.633 states/eV per atom. As for the magnetization: 5.17 μB/cell. The calculation puts the formation energy from the elements at 390.2 meV per atom.

***

(4)
Below is a relaxed BeHgSbTe2 crystal, with properties calculated at the PBEsol level.

abc: 4.780 5.072 5.072
angles: 90.00 90.00 90.00
Fractional positions:
Sb 0.500 0.000 0.000
Te 0.000 0.000 0.500
Te 0.000 0.500 0.000
Hg 0.500 0.500 0.500
Be 0.000 0.000 0.000

Values from the calculation:
The value obtained for the density of states at the Fermi level is 0.794 states/eV per atom. As for the magnetization: 0.00 μB/cell. For the uncorrected formation energy, the calculation gives 0.3870 eV per atom.